# ErIn2GaPd4 GGA-PBE relaxed
data_ErIn2GaPd4
_symmetry_space_group_name_H-M 'R -3 m'
_symmetry_Int_Tables_number 166
_symmetry_space_group_name_Hall '-R 3 2"'
_cell_length_a 4.7066
_cell_length_b 4.7066
_cell_length_c 22.4891
_cell_angle_alpha 90.00
_cell_angle_beta 90.00
_cell_angle_gamma 120.00
loop_
_atom_site_label
_atom_site_type_symbol
_atom_site_fract_x
_atom_site_fract_y
_atom_site_fract_z
_atom_site_occupancy
Er1 Er 0.0000 0.0000 0.0000 1
In1 In 0.0000 0.0000 0.2536 1
Ga1 Ga 0.0000 0.0000 0.5000 1
Pd1 Pd 0.0000 0.0000 0.1298 1
Pd2 Pd 0.0000 0.0000 0.3868 1
# Raw total energy: -4.894 eV/atom
# Crystal system: trigonal
# Formation energy: -5.3 eV/f.u.

***

# ErInGaPd GGA-PBE relaxed
data_ErInGaPd
_symmetry_space_group_name_H-M 'F -4 3 m'
_symmetry_Int_Tables_number 216
_symmetry_space_group_name_Hall 'F -4 2 3'
_cell_length_a 6.843
_cell_length_b 6.843
_cell_length_c 6.843
_cell_angle_alpha 90.00
_cell_angle_beta 90.00
_cell_angle_gamma 90.00
loop_
_atom_site_label
_atom_site_type_symbol
_atom_site_fract_x
_atom_site_fract_y
_atom_site_fract_z
_atom_site_occupancy
Er1 Er 0.000 0.000 0.000 1
In1 In 0.000 0.000 0.500 1
Ga1 Ga 0.250 0.250 0.750 1
Pd1 Pd 0.250 0.250 0.250 1
# Raw total energy: -4.468 eV/atom
# Crystal system: cubic
# Formation energy: -2.4 eV/f.u.

***

# ErInGaPt GGA-PBE relaxed
data_ErInGaPt
_symmetry_space_group_name_H-M 'F -4 3 m'
_symmetry_Int_Tables_number 216
_symmetry_space_group_name_Hall 'F -4 2 3'
_cell_length_a 6.847
_cell_length_b 6.847
_cell_length_c 6.847
_cell_angle_alpha 90.00
_cell_angle_beta 90.00
_cell_angle_gamma 90.00
loop_
_atom_site_label
_atom_site_type_symbol
_atom_site_fract_x
_atom_site_fract_y
_atom_site_fract_z
_atom_site_occupancy
Er1 Er 0.000 0.000 0.000 1
In1 In 0.000 0.000 0.500 1
Ga1 Ga 0.250 0.250 0.750 1
Pt1 Pt 0.250 0.250 0.250 1
# Raw total energy: -4.755 eV/atom
# Crystal system: cubic
# Formation energy: -2.7 eV/f.u.

***

# Er2InGa3Pt4 GGA-PBE relaxed
data_Er2InGa3Pt4
_symmetry_space_group_name_H-M 'P -4 m 2'
_symmetry_Int_Tables_number 115
_cell_length_a 4.070
_cell_length_b 4.070
_cell_length_c 11.580
_cell_angle_alpha 90.00
_cell_angle_beta 90.00
_cell_angle_gamma 90.00
loop_
_symmetry_equiv_pos_as_xyz
'x,y,z'
'y,-x,-z'
'-x,-y,z'
'-y,x,-z'
'-x,y,z'
'-y,-x,-z'
'x,-y,z'
'y,x,-z'
loop_
_atom_site_label
_atom_site_type_symbol
_atom_site_fract_x
_atom_site_fract_y
_atom_site_fract_z
_atom_site_occupancy
Er1 Er 0.000 0.500 0.242 1
In1 In 0.000 0.000 0.500 1
Ga1 Ga 0.000 0.500 0.870 1
Ga2 Ga 0.500 0.500 0.500 1
Pt1 Pt 0.000 0.000 0.000 1
Pt2 Pt 0.000 0.500 0.659 1
Pt3 Pt 0.500 0.500 0.000 1
# Raw total energy: -5.399 eV/atom
# Crystal system: tetragonal
# Formation energy: -8.9 eV/f.u.

***

# ErPuInGa GGA-PBE relaxed
data_ErPuInGa
_symmetry_space_group_name_H-M 'F -4 3 m'
_symmetry_Int_Tables_number 216
_symmetry_space_group_name_Hall 'F -4 2 3'
_cell_length_a 7.351
_cell_length_b 7.351
_cell_length_c 7.351
_cell_angle_alpha 90.00
_cell_angle_beta 90.00
_cell_angle_gamma 90.00
loop_
_atom_site_label
_atom_site_type_symbol
_atom_site_fract_x
_atom_site_fract_y
_atom_site_fract_z
_atom_site_occupancy
Er1 Er 0.000 0.000 0.000 1
Pu1 Pu 0.000 0.000 0.500 1
In1 In 0.250 0.250 0.750 1
Ga1 Ga 0.250 0.250 0.250 1
# Raw total energy: -6.474 eV/atom
# Crystal system: cubic
# Formation energy: -1.2 eV/f.u.

***

# Er2InGa2Rh5 GGA-PBE relaxed
data_Er2InGa2Rh5
_symmetry_space_group_name_H-M 'P 4/m b m'
_symmetry_Int_Tables_number 127
_symmetry_space_group_name_Hall '-P 4 2ab'
_cell_length_a 9.820
_cell_length_b 9.820
_cell_length_c 3.579
_cell_angle_alpha 90.00
_cell_angle_beta 90.00
_cell_angle_gamma 90.00
loop_
_atom_site_label
_atom_site_type_symbol
_atom_site_fract_x
_atom_site_fract_y
_atom_site_fract_z
_atom_site_occupancy
Er1 Er 0.174 0.326 0.000 1
In1 In 0.000 0.000 0.000 1
Ga1 Ga 0.124 0.624 0.000 1
Rh1 Rh 0.000 0.500 0.500 1
Rh2 Rh 0.069 0.792 0.500 1
# Raw total energy: -6.265 eV/atom
# Crystal system: tetragonal
# Formation energy: -8.0 eV/f.u.

***

# ErInGaRh GGA-PBE relaxed
data_ErInGaRh
_symmetry_space_group_name_H-M 'F -4 3 m'
_symmetry_Int_Tables_number 216
_symmetry_space_group_name_Hall 'F -4 2 3'
_cell_length_a 6.763
_cell_length_b 6.763
_cell_length_c 6.763
_cell_angle_alpha 90.00
_cell_angle_beta 90.00
_cell_angle_gamma 90.00
loop_
_atom_site_label
_atom_site_type_symbol
_atom_site_fract_x
_atom_site_fract_y
_atom_site_fract_z
_atom_site_occupancy
Er1 Er 0.000 0.000 0.000 1
In1 In 0.000 0.000 0.500 1
Ga1 Ga 0.250 0.250 0.750 1
Rh1 Rh 0.250 0.250 0.250 1
# Raw total energy: -4.917 eV/atom
# Crystal system: cubic
# Formation energy: -2.0 eV/f.u.

***

# Er4InGa2Ru GGA-PBE relaxed
data_Er4InGa2Ru
_symmetry_space_group_name_H-M 'R -3 m'
_symmetry_Int_Tables_number 166
_symmetry_space_group_name_Hall '-R 3 2"'
_cell_length_a 5.0325
_cell_length_b 5.0325
_cell_length_c 24.5236
_cell_angle_alpha 90.00
_cell_angle_beta 90.00
_cell_angle_gamma 120.00
loop_
_atom_site_label
_atom_site_type_symbol
_atom_site_fract_x
_atom_site_fract_y
_atom_site_fract_z
_atom_site_occupancy
Er1 Er 0.0000 0.0000 0.1167 1
Er2 Er 0.0000 0.0000 0.3692 1
In1 In 0.0000 0.0000 0.5000 1
Ga1 Ga 0.0000 0.0000 0.2476 1
Ru1 Ru 0.0000 0.0000 0.0000 1
# Raw total energy: -5.048 eV/atom
# Crystal system: trigonal
# Formation energy: -4.1 eV/f.u.